Record 1
{
  "formula": "TbPa3Tl3Te8",
  "functional": "PBE-GGA",
  "state": "relaxed",
  "lattice": [[-3.155, 5.223, 6.175], [4.701, -6.961, 2.188], [4.983, 7.566, -3.855]],
  "species": ["Tb", "Pa", "Pa", "Pa", "Tl", "Tl", "Tl", "Te", "Te", "Te", "Te", "Te", "Te", "Te", "Te"],
  "frac_coords": [[0.000, 0.000, 0.500], [0.500, 0.000, 0.500], [0.500, 0.500, 0.500], [0.000, 0.500, 0.500], [0.000, 0.000, 0.000], [0.000, 0.500, 0.000], [0.500, 0.500, 0.000], [0.260, 0.520, 0.280], [0.740, 0.480, 0.720], [0.760, 0.520, 0.283], [0.240, 0.480, 0.717], [0.760, 0.023, 0.283], [0.240, 0.977, 0.717], [0.263, 0.023, 0.283], [0.737, 0.977, 0.717]],
  "dos_ef_per_ev_cell": 20.97,
  "crystal_system": "trigonal",
  "space_group": "R-3m (166)",
  "formation_energy_uncorrected_ev_per_atom": -0.76,
  "volume_a3_per_atom": 36.87
}


Record 2
{
  "formula": "Cs2BaCu2I6",
  "functional": "PBE-GGA",
  "state": "relaxed",
  "lattice": [[-1.427, 6.133, 5.818], [3.392, -7.399, 2.316], [6.379, 5.938, -4.694]],
  "species": ["Cs", "Cs", "Ba", "Cu", "Cu", "I", "I", "I", "I", "I", "I"],
  "frac_coords": [[0.708, 0.415, 0.191], [0.292, 0.585, 0.809], [0.500, 0.000, 0.500], [0.954, 0.909, 0.742], [0.046, 0.091, 0.258], [0.759, 0.518, 0.613], [0.196, 0.887, 0.193], [0.309, 0.113, 0.807], [0.804, 0.113, 0.807], [0.691, 0.887, 0.193], [0.241, 0.482, 0.387]],
  "dos_ef_per_ev_cell": 0.00,
  "crystal_system": "monoclinic",
  "space_group": "C2/m (12)",
  "formation_energy_uncorrected_ev_per_atom": -1.07,
  "volume_a3_per_atom": 50.01
}


Record 3
{
  "formula": "CrIn2Os",
  "functional": "PBE-GGA",
  "state": "relaxed",
  "lattice": [[-5.906, 1.937, 6.638], [-7.654, 0.071, 4.910], [-5.710, -1.122, 6.988]],
  "species": ["Cr", "In", "In", "Os"],
  "frac_coords": [[0.750, 0.750, 0.750], [0.998, 0.998, 0.998], [0.502, 0.502, 0.502], [0.250, 0.250, 0.250]],
  "dos_ef_per_ev_cell": 3.73,
  "crystal_system": "trigonal",
  "space_group": "R-3m (166)",
  "ef_ev_per_atom": 0.6076,
  "volume_a3_per_atom": 18.38,
  "relative_energy_kj_per_mol_atoms": 34.9
}


Record 4
{
  "formula": "Sm4YSc7",
  "functional": "PBE-GGA",
  "state": "relaxed",
  "lattice": [[-1.246, -1.085, -5.346], [-10.243, -4.504, 0.373], [-2.777, 4.765, -3.248]],
  "species": ["Sm", "Sm", "Sm", "Sm", "Y", "Sc", "Sc", "Sc", "Sc", "Sc", "Sc", "Sc"],
  "frac_coords": [[0.638, 0.223, 0.502], [0.362, 0.777, 0.498], [0.713, 0.699, 0.876], [0.287, 0.301, 0.124], [0.000, 0.000, 0.000], [0.788, 0.919, 0.504], [0.212, 0.081, 0.496], [0.039, 0.629, 0.293], [0.961, 0.371, 0.707], [0.359, 0.512, 0.770], [0.500, 0.000, 0.000], [0.641, 0.488, 0.230]],
  "dos_ef_per_ev_cell": 22.49,
  "crystal_system": "monoclinic",
  "space_group": "C2/m (12)",
  "ef_ev_per_atom": 0.2693,
  "volume_a3_per_atom": 29.08
}


Record 5
{
  "formula": "SrNi2Sn2",
  "functional": "PBE-GGA",
  "state": "relaxed",
  "lattice": [[-0.013, -1.685, 7.705], [7.864, 0.587, 0.142], [-0.252, 3.207, 0.701]],
  "species": ["Sr", "Sr", "Sn", "Sn", "Sn", "Sn", "Ni", "Ni", "Ni", "Ni"],
  "frac_coords": [[0.000, 0.000, 0.000], [0.500, 0.500, 0.000], [0.154, 0.654, 0.500], [0.654, 0.846, 0.500], [0.846, 0.346, 0.500], [0.346, 0.154, 0.500], [0.381, 0.881, 0.000], [0.881, 0.619, 0.000], [0.619, 0.119, 0.000], [0.119, 0.381, 0.000]],
  "dos_ef_per_ev_cell": 5.13,
  "crystal_system": "tetragonal",
  "space_group": "P4/mbm (127)",
  "ef_ev_per_atom": -0.1384,
  "volume_a3_per_atom": 20.48
}


Record 6
{
  "formula": "NdMo2N6",
  "functional": "PBE-GGA",
  "state": "relaxed",
  "lattice": [[-3.741, 1.209, -0.435], [-2.851, -0.436, 5.319], [-0.791, 5.533, 4.190]],
  "species": ["Nd", "Mo", "Mo", "N", "N", "N", "N", "N", "N"],
  "frac_coords": [[0.000, 0.500, 0.500], [0.232, 0.681, 0.855], [0.768, 0.319, 0.145], [0.697, 0.704, 0.902], [0.303, 0.296, 0.098], [0.968, 0.962, 0.103], [0.360, 0.697, 0.584], [0.032, 0.038, 0.897], [0.640, 0.303, 0.416]],
  "dos_ef_per_ev_cell": 0.33,
  "crystal_system": "monoclinic",
  "space_group": "C2/m (12)",
  "formation_energy_uncorrected_ev_per_atom": -0.30,
  "volume_a3_per_atom": 14.81
}


Record 7
{
  "formula": "Y2RuBr",
  "functional": "PBE-GGA",
  "state": "relaxed",
  "lattice": [[-6.775, 2.744, -3.846], [-7.853, 2.293, 1.139], [8.033, -0.127, 1.917]],
  "species": ["Y", "Y", "Ru", "Br"],
  "frac_coords": [[0.076, 0.076, 0.000], [0.780, 0.280, 0.500], [0.198, 0.698, 0.500], [0.447, 0.447, 0.000]],
  "dos_ef_per_ev_cell": 2.32,
  "crystal_system": "orthorhombic",
  "space_group": "Imm2 (44)",
  "formation_energy_uncorrected_ev_per_atom": -0.63,
  "volume_a3_per_atom": 25.67,
  "relative_energy_kj_per_mol_atoms": 16.2
}


Record 8
{
  "formula": "Ca2PdN2",
  "functional": "PBE-GGA",
  "state": "relaxed",
  "lattice": [[3.561, 0.001, 0.000], [0.000, 3.561, 0.000], [-1.780, -1.781, 6.382]],
  "species": ["Ca", "Ca", "Pd", "N", "N"],
  "frac_coords": [[0.656, 0.656, 0.311], [0.344, 0.344, 0.689], [0.000, 0.000, 0.000], [0.847, 0.847, 0.694], [0.153, 0.153, 0.306]],
  "dos_ef_per_ev_cell": 4.11,
  "crystal_system": "tetragonal",
  "space_group": "I4/mmm (139)",
  "formation_energy_uncorrected_ev_per_atom": -0.54,
  "volume_a3_per_atom": 16.18
}


Record 9
{
  "formula": "BeCuSe2",
  "functional": "PBE-GGA",
  "state": "relaxed",
  "lattice": [[-2.610, -3.721, 1.751], [3.990, 2.583, 1.066], [-3.720, 4.280, 3.551]],
  "species": ["Be", "Cu", "Se", "Se"],
  "frac_coords": [[0.500, 0.500, 0.250], [0.500, 0.500, 0.750], [0.000, 0.000, 0.020], [0.000, 0.000, 0.480]],
  "dos_ef_per_ev_cell": 2.01,
  "crystal_system": "orthorhombic",
  "space_group": "Cmmm (65)",
  "formation_energy_uncorrected_ev_per_atom": 0.06,
  "volume_a3_per_atom": 25.54
}


Record 10
{
  "formula": "ZrCuAs2",
  "functional": "PBE-GGA",
  "state": "relaxed",
  "lattice": [[5.506, 0.006, 0.000], [2.855, 4.708, 0.000], [-4.181, -2.357, 2.699]],
  "species": ["As", "As", "Cu", "Zr"],
  "frac_coords": [[0.000, 0.000, 0.000], [0.250, 0.750, 0.500], [0.500, 0.500, 0.000], [0.750, 0.250, 0.500]],
  "dos_ef_per_ev_cell": 1.76,
  "crystal_system": "tetragonal",
  "space_group": "I-4m2 (119)",
  "ef_ev_per_atom": -0.3878,
  "volume_a3_per_atom": 17.47
}


Record 11
{
  "formula": "Na2PaSn3Te6",
  "functional": "PBE-GGA",
  "state": "relaxed",
  "lattice": [[-5.909, -2.457, 4.494], [3.007, -4.777, -5.413], [5.876, -0.266, 5.351]],
  "species": ["Na", "Na", "Pa", "Sn", "Sn", "Sn", "Te", "Te", "Te", "Te", "Te", "Te"],
  "frac_coords": [[0.331, 0.669, 0.000], [0.669, 0.331, 0.000], [0.000, 0.000, 0.000], [0.162, 0.838, 0.500], [0.838, 0.162, 0.500], [0.500, 0.500, 0.500], [0.917, 0.602, 0.755], [0.767, 0.767, 0.255], [0.083, 0.398, 0.245], [0.602, 0.917, 0.755], [0.233, 0.233, 0.745], [0.398, 0.083, 0.245]],
  "dos_ef_per_ev_cell": 6.95,
  "crystal_system": "monoclinic",
  "space_group": "C2/m (12)",
  "formation_energy_uncorrected_ev_per_atom": -0.58,
  "volume_a3_per_atom": 33.32
}


Record 12
{
  "formula": "RbBaPb3",
  "functional": "PBE-GGA",
  "state": "relaxed",
  "lattice": [[6.171, 0.000, 0.000], [0.000, 6.171, 0.000], [0.000, 0.000, 6.171]],
  "species": ["Pb", "Pb", "Pb", "Ba", "Rb"],
  "frac_coords": [[0.000, 0.500, 0.000], [0.000, 0.000, 0.500], [0.500, 0.000, 0.000], [0.500, 0.500, 0.500], [0.000, 0.000, 0.000]],
  "dos_ef_per_ev_cell": 5.25,
  "crystal_system": "cubic",
  "space_group": "Pm-3m (221)",
  "ef_ev_per_atom": 0.5112,
  "volume_a3_per_atom": 47.00,
  "relative_energy_kj_per_mol_atoms": 8.8
}